The following is a DFT calculation (GGA+U) of an optimized crystal structure of FeBr2F.

```
4
Lattice="0.000 3.277 3.277 3.277 0.000 3.277 3.277 3.277 0.000" Properties=species:S:1:pos:R:3 pbc="T T T"
Br 1.639 1.639 1.639
Br 4.916 4.916 4.916
Fe 3.277 3.277 3.277
F 0.000 0.000 0.000
```

Results
Space group ... Fm-3m (225)
Uncorrected energy ... -11.801 eV/cell
N(E_F) ... 0.12 states/eV/f.u.